This record from the Alexandria database describes crystalline Ta2MoSe at its relaxed geometry. The functional is GGA-PBE.

Cell and atoms, written as POSCAR:
```
Ta2MoSe
1.0
4.579 0.000 0.000
0.000 2.962 -0.002
0.000 0.036 5.158
Ta Se Mo
2 1 1
Cartesian
0.000 1.757 2.535
0.000 2.705 0.040
2.290 2.249 3.866
2.290 0.750 1.289
```

Values from the calculation:
**E_form (uncorrected)**: 0.150 eV/atom
**Raw total energy**: -9.355 eV per atom
**SG**: P2/m, No. 10

This record from the Alexandria database describes crystalline LiTa4As at its relaxed geometry. The functional is GGA-PBE.

Cell and atoms, written as POSCAR:
```
LiTa4As
1.0
0.000 3.889 3.889
3.889 0.000 3.889
3.889 3.889 0.000
Ta Li As
4 1 1
Cartesian
2.899 2.899 2.899
2.899 4.879 4.879
4.879 4.879 2.899
4.879 2.899 4.879
0.000 0.000 0.000
5.834 5.834 5.834
```

Values from the calculation:
**Energy of formation from the pure elements**: 0.671 eV/atom
**Raw total energy**: -8.325 eV per atom
**SG**: F-43m, No. 216